Record 1
A plane-wave DFT calculation with PBE was carried out for a geometry-optimized Dy3Al4Cd2 structure.

Cell lengths 5.874, 5.874, 8.821 Å; angles 113.15, 113.15, 46.70 degrees
Positions (direct):
Dy 0.000 0.000 0.000
Dy 0.335 0.335 0.331
Dy 0.665 0.665 0.669
Al 0.047 0.047 0.384
Al 0.267 0.267 0.938
Al 0.733 0.733 0.062
Al 0.953 0.953 0.616
Cd 0.385 0.385 0.720
Cd 0.615 0.615 0.280

Properties
Space-group type: C2/m (12)
DFT formation energy (eV per atom): -0.41
Total moment (μB/f.u.): 0.0

---

Record 2
A plane-wave DFT calculation with PBE was carried out for a geometry-optimized PmPaNiOs structure.

Cell lengths 6.890, 6.890, 6.890 Å; angles 90.00, 90.00, 90.00 degrees
Positions (direct):
Pm 0.000 0.000 0.000
Pm 0.000 0.500 0.500
Pm 0.500 0.000 0.500
Pm 0.500 0.500 0.000
Pa 0.000 0.000 0.500
Pa 0.000 0.500 0.000
Pa 0.500 0.000 0.000
Pa 0.500 0.500 0.500
Ni 0.250 0.250 0.250
Ni 0.250 0.750 0.750
Ni 0.750 0.250 0.750
Ni 0.750 0.750 0.250
Os 0.250 0.250 0.750
Os 0.250 0.750 0.250
Os 0.750 0.250 0.250
Os 0.750 0.750 0.750

Properties
Space-group type: F-43m (216)
DFT formation energy (eV per atom): -0.13
Total moment (μB/f.u.): 0.0

---

Record 3
A plane-wave DFT calculation with PBE was carried out for a geometry-optimized Dy3Ta5N12 structure.

Cell lengths 11.210, 11.210, 11.210 Å; angles 109.47, 109.47, 109.47 degrees
Positions (direct):
Dy 0.125 0.250 0.375
Dy 0.125 0.375 0.750
Dy 0.250 0.375 0.125
Dy 0.250 0.875 0.625
Dy 0.375 0.125 0.250
Dy 0.375 0.750 0.125
Dy 0.625 0.250 0.875
Dy 0.625 0.875 0.750
Dy 0.750 0.125 0.375
Dy 0.750 0.625 0.875
Dy 0.875 0.625 0.250
Dy 0.875 0.750 0.625
Ta 0.000 0.000 0.000
Ta 0.000 0.000 0.500
Ta 0.000 0.500 0.000
Ta 0.000 0.500 0.500
Ta 0.125 0.750 0.875
Ta 0.125 0.875 0.250
Ta 0.250 0.125 0.875
Ta 0.250 0.625 0.375
Ta 0.375 0.250 0.625
Ta 0.375 0.625 0.750
Ta 0.500 0.000 0.000
Ta 0.500 0.000 0.500
Ta 0.500 0.500 0.000
Ta 0.500 0.500 0.500
Ta 0.625 0.375 0.250
Ta 0.625 0.750 0.375
Ta 0.750 0.375 0.625
Ta 0.750 0.875 0.125
Ta 0.875 0.125 0.750
Ta 0.875 0.250 0.125
N 0.026 0.205 0.120
N 0.026 0.322 0.906
N 0.085 0.705 0.678
N 0.085 0.880 0.406
N 0.094 0.620 0.415
N 0.094 0.974 0.678
N 0.120 0.026 0.205
N 0.120 0.594 0.915
N 0.178 0.205 0.585
N 0.178 0.474 0.594
N 0.205 0.120 0.026
N 0.205 0.585 0.178
N 0.295 0.322 0.915
N 0.295 0.474 0.380
N 0.322 0.906 0.026
N 0.322 0.915 0.295
N 0.380 0.295 0.474
N 0.380 0.585 0.906
N 0.406 0.085 0.880
N 0.406 0.822 0.526
N 0.415 0.094 0.620
N 0.415 0.822 0.795
N 0.474 0.380 0.295
N 0.474 0.594 0.178
N 0.526 0.406 0.822
N 0.526 0.620 0.705
N 0.585 0.178 0.205
N 0.585 0.906 0.380
N 0.594 0.178 0.474
N 0.594 0.915 0.120
N 0.620 0.415 0.094
N 0.620 0.705 0.526
N 0.678 0.085 0.705
N 0.678 0.094 0.974
N 0.705 0.526 0.620
N 0.705 0.678 0.085
N 0.795 0.415 0.822
N 0.795 0.880 0.974
N 0.822 0.526 0.406
N 0.822 0.795 0.415
N 0.880 0.406 0.085
N 0.880 0.974 0.795
N 0.906 0.026 0.322
N 0.906 0.380 0.585
N 0.915 0.120 0.594
N 0.915 0.295 0.322
N 0.974 0.678 0.094
N 0.974 0.795 0.880

Properties
Space-group type: Ia-3d (230)
Total moment (μB/f.u.): 0.0
E_form (uncorrected) (eV/atom): -1.099

---

Record 4
A plane-wave DFT calculation with PBE was carried out for a geometry-optimized Mg5Hg2PtRh2 structure.

Cell lengths 11.049, 11.049, 3.113 Å; angles 90.00, 90.00, 90.00 degrees
Positions (direct):
Mg 0.000 0.500 0.000
Mg 0.055 0.195 0.000
Mg 0.195 0.945 0.000
Mg 0.305 0.445 0.000
Mg 0.445 0.695 0.000
Mg 0.500 0.000 0.000
Mg 0.555 0.305 0.000
Mg 0.695 0.555 0.000
Mg 0.805 0.055 0.000
Mg 0.945 0.805 0.000
Hg 0.178 0.678 0.500
Hg 0.322 0.178 0.500
Hg 0.678 0.822 0.500
Hg 0.822 0.322 0.500
Pt 0.000 0.000 0.500
Pt 0.500 0.500 0.500
Rh 0.137 0.363 0.500
Rh 0.363 0.863 0.500
Rh 0.637 0.137 0.500
Rh 0.863 0.637 0.500

Properties
Space-group type: P4/mbm (127)
DFT formation energy (eV per atom): -0.38
Total moment (μB/f.u.): 0.0

---

Question: Number 3 is which compound?
Answer: Dy3Ta5N12